(one)
A plane-wave DFT calculation with GGA-PBE was carried out for crystalline CaSc2Mo at its relaxed geometry.

Values from the calculation:
The total moment is 0.00 μB per cell. The value obtained for the volume is 24.2 A^3/atom. The density comes out at 3.9 g/cm³.

Lattice parameters (Å, degrees): 5.153 5.153 6.436 87.47 87.47 34.59
Atoms (fractional coordinates):
1 Sc 0.997 0.997 0.034
2 Sc 0.744 0.744 0.804
3 Mo 0.257 0.257 0.180
4 Ca 0.502 0.502 0.482


(two)
A plane-wave DFT calculation with GGA-PBE was carried out for crystalline CaSc2Mo at its relaxed geometry.

Values from the calculation:
The total moment is 0.00 μB per cell. The value obtained for the volume is 25.1 A^3/atom. The density comes out at 3.7 g/cm³.

Lattice parameters (Å, degrees): 10.315 10.315 10.315 18.90 18.90 18.90
Atoms (fractional coordinates):
1 Sc 0.020 0.020 0.020
2 Sc 0.480 0.480 0.480
3 Mo 0.750 0.750 0.750
4 Ca 0.250 0.250 0.250


(three)
A plane-wave DFT calculation with GGA-PBE was carried out for crystalline CaSc2Mo at its relaxed geometry.

Values from the calculation:
The total moment is 0.00 μB per cell. The value obtained for the volume is 36.9 A^3/atom. The density comes out at 2.5 g/cm³.

Lattice parameters (Å, degrees): 6.882 6.882 7.903 64.19 64.19 90.00
Atoms (fractional coordinates):
1 Sc 0.875 0.125 0.250
2 Sc 0.875 0.625 0.250
3 Sc 0.375 0.125 0.750
4 Sc 0.875 0.125 0.750
5 Mo 0.000 0.000 0.000
6 Mo 0.750 0.250 0.500
7 Ca 0.500 0.500 0.000
8 Ca 0.250 0.750 0.500


Order of stability, best first: (two), (one), (three)


(one)
A plane-wave DFT calculation with GGA-PBE was carried out for crystalline CaSc2Mo at its relaxed geometry.

Values from the calculation:
The total moment is 0.00 μB per cell. The value obtained for the volume is 22.5 A^3/atom. The density comes out at 4.2 g/cm³.

Lattice parameters (Å, degrees): 5.463 5.463 3.153 90.00 90.00 107.06
Atoms (fractional coordinates):
1 Sc 0.000 0.000 0.000
2 Sc 0.500 0.500 0.000
3 Mo 0.000 0.500 0.500
4 Ca 0.500 0.000 0.500


(two)
A plane-wave DFT calculation with GGA-PBE was carried out for crystalline CaSc2Mo at its relaxed geometry.

Values from the calculation:
The total moment is 0.00 μB per cell. The value obtained for the volume is 24.5 A^3/atom. The density comes out at 3.8 g/cm³.

Lattice parameters (Å, degrees): 6.142 6.142 6.142 148.82 124.23 65.29
Atoms (fractional coordinates):
1 Sc 0.047 0.047 0.000
2 Sc 0.453 0.453 0.000
3 Mo 0.250 0.750 0.500
4 Ca 0.750 0.250 0.500


Order of stability, best first: (two), (one)


(one)
A plane-wave DFT calculation with GGA-PBE was carried out for crystalline CaSc2Mo at its relaxed geometry.

Values from the calculation:
The total moment is 0.00 μB per cell. The value obtained for the volume is 23.3 A^3/atom. The density comes out at 4.0 g/cm³.

Lattice parameters (Å, degrees): 3.030 3.030 10.146 90.00 90.00 90.00
Atoms (fractional coordinates):
1 Sc 0.000 0.000 0.972
2 Sc 0.500 0.500 0.230
3 Mo 0.500 0.500 0.769
4 Ca 0.000 0.000 0.528


(two)
A plane-wave DFT calculation with GGA-PBE was carried out for crystalline CaSc2Mo at its relaxed geometry.

Values from the calculation:
The total moment is 0.00 μB per cell. The value obtained for the volume is 22.1 A^3/atom. The density comes out at 4.3 g/cm³.

Lattice parameters (Å, degrees): 4.997 4.997 4.997 60.00 60.00 60.00
Atoms (fractional coordinates):
1 Sc 0.250 0.250 0.250
2 Sc 0.750 0.750 0.750
3 Mo 0.500 0.500 0.500
4 Ca 0.000 0.000 0.000


Order of stability, best first: (two), (one)


(one)
A plane-wave DFT calculation with GGA-PBE was carried out for crystalline CaSc2Mo at its relaxed geometry.

Values from the calculation:
The total moment is 0.00 μB per cell. The value obtained for the volume is 24.1 A^3/atom. The density comes out at 3.9 g/cm³.

Lattice parameters (Å, degrees): 4.947 3.154 6.380 75.67 90.00 90.00
Atoms (fractional coordinates):
1 Sc 0.000 0.822 0.980
2 Sc 0.500 0.217 0.192
3 Mo 0.500 0.911 0.803
4 Ca 0.000 0.550 0.525


(two)
A plane-wave DFT calculation with GGA-PBE was carried out for crystalline CaSc2Mo at its relaxed geometry.

Values from the calculation:
The total moment is 0.00 μB per cell. The value obtained for the volume is 22.5 A^3/atom. The density comes out at 4.2 g/cm³.

Lattice parameters (Å, degrees): 4.617 4.612 4.224 90.00 90.00 90.00
Atoms (fractional coordinates):
1 Sc 0.000 0.000 0.000
2 Sc 0.500 0.500 0.000
3 Mo 0.000 0.500 0.500
4 Ca 0.500 0.000 0.500


Order of stability, best first: (one), (two)


(one)
A plane-wave DFT calculation with GGA-PBE was carried out for crystalline CaScMo at its relaxed geometry.

Values from the calculation:
The total moment is 0.00 μB per cell. The value obtained for the volume is 21.7 A^3/atom. The density comes out at 4.6 g/cm³.

Lattice parameters (Å, degrees): 5.041 5.041 2.958 90.00 90.00 120.00
Atoms (fractional coordinates):
1 Sc 0.333 0.667 0.667
2 Mo 0.667 0.333 0.167
3 Ca 0.000 0.000 0.167


(two)
A plane-wave DFT calculation with GGA-PBE was carried out for crystalline CaScMo at its relaxed geometry.

Values from the calculation:
The total moment is 0.00 μB per cell. The value obtained for the volume is 23.1 A^3/atom. The density comes out at 4.3 g/cm³.

Lattice parameters (Å, degrees): 7.937 7.937 7.937 158.15 158.15 31.09
Atoms (fractional coordinates):
1 Sc 0.691 0.691 0.000
2 Mo 0.324 0.324 0.000
3 Ca 0.985 0.985 0.000


(three)
A plane-wave DFT calculation with GGA-PBE was carried out for crystalline CaScMo at its relaxed geometry.

Values from the calculation:
The total moment is 2.25 μB per cell. The value obtained for the volume is 27.6 A^3/atom. The density comes out at 3.6 g/cm³.

Lattice parameters (Å, degrees): 4.893 4.893 4.893 60.00 60.00 60.00
Each line ends with the local moment (μB).
Atoms (fractional coordinates):
1 Sc 0.000 0.000 0.000  0.04
2 Mo 0.250 0.250 0.250  1.83
3 Ca 0.500 0.500 0.500  0.02


Order of stability, best first: (two), (one), (three)


(one)
A plane-wave DFT calculation with GGA-PBE was carried out for crystalline CaScMo at its relaxed geometry.

Values from the calculation:
The total moment is 0.00 μB per cell. The value obtained for the volume is 23.9 A^3/atom. The density comes out at 4.2 g/cm³.

Lattice parameters (Å, degrees): 6.544 6.544 6.544 152.02 146.82 43.94
Atoms (fractional coordinates):
1 Sc 0.702 0.702 0.000
2 Mo 0.315 0.315 0.000
3 Ca 0.983 0.983 0.000


(two)
A plane-wave DFT calculation with GGA-PBE was carried out for crystalline CaScMo at its relaxed geometry.

Values from the calculation:
The total moment is 0.00 μB per cell. The value obtained for the volume is 23.1 A^3/atom. The density comes out at 4.3 g/cm³.

Lattice parameters (Å, degrees): 7.990 7.850 3.061 81.44 76.30 22.26
Atoms (fractional coordinates):
1 Sc 0.692 0.692 0.308
2 Mo 0.323 0.323 0.677
3 Ca 0.984 0.984 0.016


Order of stability, best first: (two), (one)


(one)
A plane-wave DFT calculation with GGA-PBE was carried out for crystalline Ca3MoSe at its relaxed geometry.

Values from the calculation:
The total moment is 4.00 μB per cell. The value obtained for the volume is 34.1 A^3/atom. The density comes out at 2.9 g/cm³.

Lattice parameters (Å, degrees): 5.543 5.543 5.543 90.00 90.00 90.00
Each line ends with the local moment (μB).
Atoms (fractional coordinates):
1 Mo 0.500 0.500 0.500  3.40
2 Ca 0.000 0.500 0.000  -0.01
3 Ca 0.000 0.000 0.500  0.01
4 Ca 0.500 0.000 0.000  -0.04
5 Se 0.000 0.000 0.000  0.01


(two)
A plane-wave DFT calculation with GGA-PBE was carried out for crystalline Ca3MoSe at its relaxed geometry.

Values from the calculation:
The total moment is 0.00 μB per cell. The value obtained for the volume is 30.4 A^3/atom. The density comes out at 3.2 g/cm³.

Lattice parameters (Å, degrees): 5.335 5.335 5.335 90.00 90.00 90.00
Atoms (fractional coordinates):
1 Mo 0.000 0.000 0.000
2 Ca 0.000 0.500 0.000
3 Ca 0.000 0.000 0.500
4 Ca 0.500 0.000 0.000
5 Se 0.500 0.500 0.500


Order of stability, best first: (one), (two)


(one)
A plane-wave DFT calculation with GGA-PBE was carried out for crystalline CaMoSe3 at its relaxed geometry.

Values from the calculation:
The total moment is 2.02 μB per cell. The value obtained for the volume is 31.0 A^3/atom. The density comes out at 4.0 g/cm³.

Lattice parameters (Å, degrees): 5.374 5.374 5.374 90.00 90.00 90.00
Each line ends with the local moment (μB).
Atoms (fractional coordinates):
1 Mo 0.500 0.500 0.500  3.70
2 Ca 0.000 0.000 0.000  0.00
3 Se 0.000 0.500 0.000  -0.59
4 Se 0.000 0.000 0.500  -0.50
5 Se 0.500 0.000 0.000  -0.45


(two)
A plane-wave DFT calculation with GGA-PBE was carried out for crystalline CaMoSe3 at its relaxed geometry.

Values from the calculation:
The total moment is 0.00 μB per cell. The value obtained for the volume is 25.0 A^3/atom. The density comes out at 5.0 g/cm³.

Lattice parameters (Å, degrees): 5.001 5.001 5.001 90.00 90.00 90.00
Atoms (fractional coordinates):
1 Mo 0.000 0.000 0.000
2 Ca 0.500 0.500 0.500
3 Se 0.000 0.500 0.000
4 Se 0.000 0.000 0.500
5 Se 0.500 0.000 0.000


Order of stability, best first: (two), (one)


(one)
A plane-wave DFT calculation with GGA-PBE was carried out for crystalline Ca2SnMo2 at its relaxed geometry.

Values from the calculation:
The total moment is 0.00 μB per cell. The value obtained for the volume is 25.8 A^3/atom. The density comes out at 5.0 g/cm³.

Lattice parameters (Å, degrees): 3.552 3.552 10.540 80.30 80.30 90.00
Atoms (fractional coordinates):
1 Mo 0.750 0.250 0.500
2 Mo 0.250 0.750 0.500
3 Ca 0.389 0.389 0.221
4 Ca 0.611 0.611 0.779
5 Sn 0.000 0.000 0.000


(two)
A plane-wave DFT calculation with GGA-PBE was carried out for crystalline Ca2SnMo2 at its relaxed geometry.

Values from the calculation:
The total moment is 3.41 μB per cell. The value obtained for the volume is 22.3 A^3/atom. The density comes out at 5.8 g/cm³.

Lattice parameters (Å, degrees): 7.783 7.783 3.681 90.00 90.00 90.00
Each line ends with the local moment (μB).
Atoms (fractional coordinates):
1 Mo 0.179 0.679 0.500  0.74
2 Mo 0.679 0.821 0.500  0.76
3 Mo 0.821 0.321 0.500  0.74
4 Mo 0.321 0.179 0.500  0.76
5 Ca 0.371 0.871 0.000  0.01
6 Ca 0.871 0.629 0.000  0.01
7 Ca 0.629 0.129 0.000  0.01
8 Ca 0.129 0.371 0.000  0.01
9 Sn 0.000 0.000 0.000  -0.06
10 Sn 0.500 0.500 0.000  -0.06


Order of stability, best first: (one), (two)


(one)
A plane-wave DFT calculation with GGA-PBE was carried out for crystalline Ca3SnMo at its relaxed geometry.

Values from the calculation:
The total moment is 2.01 μB per cell. The value obtained for the volume is 33.8 A^3/atom. The density comes out at 3.3 g/cm³.

Lattice parameters (Å, degrees): 5.527 5.527 5.527 90.00 90.00 90.00
Each line ends with the local moment (μB).
Atoms (fractional coordinates):
1 Mo 0.000 0.000 0.000  1.57
2 Ca 0.000 0.500 0.000  0.05
3 Ca 0.000 0.000 0.500  0.01
4 Ca 0.500 0.000 0.000  0.06
5 Sn 0.500 0.500 0.500  0.03


(two)
A plane-wave DFT calculation with GGA-PBE was carried out for crystalline Ca3SnMo at its relaxed geometry.

Values from the calculation:
The total moment is 5.82 μB per cell. The value obtained for the volume is 41.5 A^3/atom. The density comes out at 2.7 g/cm³.

Lattice parameters (Å, degrees): 5.921 5.921 5.921 90.00 90.00 90.00
Each line ends with the local moment (μB).
Atoms (fractional coordinates):
1 Mo 0.500 0.500 0.500  3.85
2 Ca 0.000 0.500 0.000  0.05
3 Ca 0.000 0.000 0.500  0.04
4 Ca 0.500 0.000 0.000  0.02
5 Sn 0.000 0.000 0.000  0.08


Order of stability, best first: (one), (two)


(one)
A plane-wave DFT calculation with GGA-PBE was carried out for crystalline Sr2CaMo at its relaxed geometry.

Values from the calculation:
The total moment is 2.61 μB per cell. The value obtained for the volume is 37.0 A^3/atom. The density comes out at 3.5 g/cm³.

Lattice parameters (Å, degrees): 3.859 3.858 9.941 90.00 90.00 90.00
Each line ends with the local moment (μB).
Atoms (fractional coordinates):
1 Sr 0.000 0.000 0.932  0.01
2 Sr 0.500 0.500 0.268  -0.02
3 Mo 0.500 0.500 0.732  2.23
4 Ca 0.000 0.000 0.567  0.03


(two)
A plane-wave DFT calculation with GGA-PBE was carried out for crystalline Sr2CaMo at its relaxed geometry.

Values from the calculation:
The total moment is 6.39 μB per cell. The value obtained for the volume is 38.5 A^3/atom. The density comes out at 3.4 g/cm³.

Lattice parameters (Å, degrees): 9.435 9.435 7.517 51.13 51.13 90.00
Each line ends with the local moment (μB).
Atoms (fractional coordinates):
1 Sr 0.675 0.125 0.250  0.01
2 Sr 0.075 0.625 0.250  0.01
3 Sr 0.375 0.325 0.750  0.01
4 Sr 0.875 0.925 0.750  0.01
5 Mo 0.000 0.000 0.000  2.85
6 Mo 0.750 0.250 0.500  2.85
7 Ca 0.500 0.500 0.000  -0.03
8 Ca 0.250 0.750 0.500  -0.03


(three)
A plane-wave DFT calculation with GGA-PBE was carried out for crystalline Sr2CaMo at its relaxed geometry.

Values from the calculation:
The total moment is 2.04 μB per cell. The value obtained for the volume is 35.9 A^3/atom. The density comes out at 3.6 g/cm³.

Lattice parameters (Å, degrees): 11.934 11.934 11.934 18.13 18.13 18.13
Each line ends with the local moment (μB).
Atoms (fractional coordinates):
1 Sr 0.019 0.019 0.019  0.02
2 Sr 0.248 0.248 0.248  0.02
3 Mo 0.752 0.752 0.752  1.62
4 Ca 0.481 0.481 0.481  0.02


(four)
A plane-wave DFT calculation with GGA-PBE was carried out for crystalline Sr2CaMo at its relaxed geometry.

Values from the calculation:
The total moment is 2.55 μB per cell. The value obtained for the volume is 34.9 A^3/atom. The density comes out at 3.7 g/cm³.

Lattice parameters (Å, degrees): 5.822 5.822 5.822 60.00 60.00 60.00
Each line ends with the local moment (μB).
Atoms (fractional coordinates):
1 Sr 0.250 0.250 0.250  -0.02
2 Sr 0.750 0.750 0.750  -0.02
3 Mo 0.500 0.500 0.500  2.51
4 Ca 0.000 0.000 0.000  -0.09


Order of stability, best first: (one), (four), (three), (two)


(one)
A plane-wave DFT calculation with GGA-PBE was carried out for crystalline SrCa3Mo at its relaxed geometry.

Values from the calculation:
The total moment is 0.00 μB per cell. The value obtained for the volume is 34.2 A^3/atom. The density comes out at 3.0 g/cm³.

Lattice parameters (Å, degrees): 5.549 5.549 5.549 90.00 90.00 90.00
Atoms (fractional coordinates):
1 Sr 0.000 0.000 0.000
2 Mo 0.500 0.500 0.500
3 Ca 0.000 0.500 0.000
4 Ca 0.000 0.000 0.500
5 Ca 0.500 0.000 0.000


(two)
A plane-wave DFT calculation with GGA-PBE was carried out for crystalline SrCa3Mo at its relaxed geometry.

Values from the calculation:
The total moment is 1.77 μB per cell. The value obtained for the volume is 38.4 A^3/atom. The density comes out at 2.6 g/cm³.

Lattice parameters (Å, degrees): 5.767 5.767 5.767 90.00 90.00 90.00
Each line ends with the local moment (μB).
Atoms (fractional coordinates):
1 Sr 0.500 0.500 0.500  -0.04
2 Mo 0.000 0.000 0.000  1.73
3 Ca 0.000 0.500 0.000  0.04
4 Ca 0.000 0.000 0.500  0.01
5 Ca 0.500 0.000 0.000  0.03


Order of stability, best first: (two), (one)